A plane-wave DFT calculation with PBE was carried out for crystalline Al2TlRe at its relaxed geometry.

abc: 5.145 5.145 4.879
angles: 83.16 83.16 32.86
Atoms (fractional coordinates):
1 Tl 0.243 0.243 0.239
2 Al 0.760 0.760 0.725
3 Al 0.008 0.008 0.998
4 Re 0.489 0.489 0.537

volume	17.4	Å³/atom
spin magnetization	0.00	μB/f.u.
DFT total energy	-5.18	eV/atom
energy of formation	1.583	eV per formula unit
crystal system	monoclinic